(1)
DFT (PBE) results for a geometry-optimized Sm3Y2Al3 structure.

Space-group type   Immm (71)
ΔE_f   -0.283 eV/atom

Cell: 11.401 11.401 11.401 Å, 161.17 153.31 32.87°
Sites, in units of the cell vectors:
Sm1 0.000 0.000 0.000
Sm2 0.381 0.881 0.500
Sm3 0.619 0.119 0.500
Y1 0.230 0.230 0.000
Y2 0.770 0.770 0.000
Al1 0.118 0.618 0.500
Al2 0.500 0.500 0.000
Al3 0.882 0.382 0.500

(2)
DFT (PBE) results for a geometry-optimized K3LaP structure.

Space-group type   Pm-3m (221)
ΔE_f   1.269 eV/atom

Cell: 6.611 6.611 6.611 Å, 90.00 90.00 90.00°
Sites, in units of the cell vectors:
K1 0.000 0.000 0.500
K2 0.000 0.500 0.000
K3 0.500 0.000 0.000
La1 0.000 0.000 0.000
P1 0.500 0.500 0.500

(3)
DFT (PBE) results for a geometry-optimized La3In structure.

Space-group type   Imm2 (44)
ΔE_f   -0.261 eV/atom

Cell: 6.782 6.782 6.782 Å, 148.03 64.34 125.79°
Sites, in units of the cell vectors:
La1 0.000 0.000 0.000
La2 0.138 0.365 0.773
La3 0.593 0.365 0.227
In1 0.538 0.038 0.500

(4)
DFT (PBE) results for a geometry-optimized TiTeRuI2 structure.

Space-group type   P4/mmm (123)
Energy relative to the elements, uncorrected   362 kJ/mol of formula units

Cell: 5.351 5.351 5.168 Å, 90.00 90.00 90.00°
Sites, in units of the cell vectors:
Ti1 0.000 0.000 0.000
Te1 0.500 0.500 0.000
Ru1 0.500 0.500 0.500
I1 0.000 0.500 0.500
I2 0.500 0.000 0.500

(5)
DFT (PBE) results for a geometry-optimized TmCdCoCu structure.

Space-group type   F-43m (216)
ΔE_f   -0.052 eV/atom

Cell: 4.599 4.599 4.599 Å, 60.00 60.00 60.00°
Sites, in units of the cell vectors:
Tm1 0.000 0.000 0.000
Cd1 0.500 0.500 0.500
Co1 0.750 0.750 0.750
Cu1 0.250 0.250 0.250

(6)
DFT (PBE) results for a geometry-optimized NaTiO3 structure.

Space-group type   P6_3/mmc (194)
Energy relative to the elements, uncorrected   -945 kJ/mol of formula units

Cell: 3.472 3.472 12.532 Å, 90.00 90.00 120.00°
Sites, in units of the cell vectors:
Na1 0.000 0.000 0.000
Na2 0.000 0.000 0.500
Ti1 0.333 0.667 0.250
Ti2 0.667 0.333 0.750
O1 0.000 0.000 0.250
O2 0.000 0.000 0.750
O3 0.333 0.667 0.105
O4 0.333 0.667 0.395
O5 0.667 0.333 0.605
O6 0.667 0.333 0.895

(7)
DFT (PBE) results for a geometry-optimized Tl5SnBi2 structure.

Space-group type   Pbam (55)
ΔE_f   -0.010 eV/atom

Cell: 7.210 14.389 4.829 Å, 90.00 90.00 90.00°
Sites, in units of the cell vectors:
Tl1 0.000 0.000 0.000
Tl2 0.007 0.252 0.000
Tl3 0.245 0.876 0.500
Tl4 0.255 0.376 0.500
Tl5 0.493 0.752 0.000
Tl6 0.500 0.500 0.000
Tl7 0.507 0.248 0.000
Tl8 0.745 0.624 0.500
Tl9 0.755 0.124 0.500
Tl10 0.993 0.748 0.000
Sn1 0.000 0.500 0.000
Sn2 0.500 0.000 0.000
Bi1 0.231 0.618 0.500
Bi2 0.269 0.118 0.500
Bi3 0.731 0.882 0.500
Bi4 0.769 0.382 0.500

(8)
DFT (PBE) results for a geometry-optimized HoIrPb structure.

Space-group type   Pnma (62)
ΔE_f   -0.512 eV/atom

Cell: 7.012 4.612 8.324 Å, 90.00 90.00 90.00°
Sites, in units of the cell vectors:
Ho1 0.021 0.250 0.180
Ho2 0.479 0.750 0.680
Ho3 0.521 0.250 0.320
Ho4 0.979 0.750 0.820
Ir1 0.246 0.250 0.895
Ir2 0.254 0.750 0.395
Ir3 0.746 0.250 0.605
Ir4 0.754 0.750 0.105
Pb1 0.161 0.250 0.571
Pb2 0.339 0.750 0.071
Pb3 0.661 0.250 0.929
Pb4 0.839 0.750 0.429

| no. | electronic total energy (eV per atom) |
| --- | --- |
| 1 | -5.07 |
| 2 | -1.46 |
| 3 | -4.64 |
| 4 | -3.93 |
| 5 | -4.20 |
| 6 | -6.78 |
| 7 | -2.96 |
| 8 | -6.23 |